Record 1
Compound: Ac4AuN
Source: Alexandria
Functional: GGA-PBE
Structure: optimized geometry

Values from the calculation:
theoretical density	8.7	g cm⁻³
energy	-5.261	eV per atom
crystal system	monoclinic
volume	428.2	Å³ per cell
space group	P2_1/m, No. 11

a b c (Å): 5.9445 9.0395 10.1991
angles (deg): 90.00 90.00 128.61
Closest atoms and distances in Å follow each position.
Fractional positions:
Au  0.1298  0.4208  0.2500  5 Ac 3.12-3.36
Ac  0.9663  0.7073  0.4577  1 N 2.45
Au  0.8702  0.5792  0.7500  5 Ac 3.12-3.36
N  0.0538  0.8712  0.2500  4 Ac 2.44-2.51
Ac  0.5583  0.7869  0.7500  1 N 2.44
Ac  0.0337  0.2927  0.9577  1 N 2.45
Ac  0.3743  0.1350  0.7500  1 N 2.51
Ac  0.4417  0.2131  0.2500  1 N 2.44
Ac  0.9663  0.7073  0.0423  1 N 2.45
N  0.9462  0.1288  0.7500  4 Ac 2.44-2.51
Ac  0.0337  0.2927  0.5423  1 N 2.45
Ac  0.6257  0.8650  0.2500  1 N 2.51



Record 2
Compound: Ac3Au2N
Source: Alexandria
Functional: GGA-PBE
Structure: optimized geometry

Values from the calculation:
theoretical density	10.0	g cm⁻³
energy	-5.411	eV per atom
crystal system	orthorhombic
volume	725.7	Å³ per cell
space group	Pnma, No. 62

a b c (Å): 4.3519 9.1599 18.2042
angles (deg): 90.00 90.00 90.00
Closest atoms and distances in Å follow each position.
Fractional positions:
Ac  0.2500  0.8180  0.7373  1 N 2.47
Au  0.7500  0.2379  0.4520  6 Ac 3.24-3.48
Ac  0.2500  0.6363  0.9261  1 N 2.40
Ac  0.2500  0.4995  0.3975  2 N 2.52
N  0.2500  0.3736  0.6298  4 Ac 2.40-2.52
Ac  0.2500  0.1363  0.5739  1 N 2.40
N  0.2500  0.8736  0.8702  4 Ac 2.40-2.52
Ac  0.7500  0.0005  0.8975  2 N 2.52
Ac  0.2500  0.3180  0.7627  1 N 2.47
Au  0.7500  0.5733  0.7884  7 Ac 3.23-3.45
Ac  0.7500  0.3637  0.0739  1 N 2.40
Au  0.2500  0.2621  0.9520  6 Ac 3.24-3.48
Ac  0.2500  0.9995  0.1025  2 N 2.52
Au  0.2500  0.9267  0.2884  7 Ac 3.23-3.45
Au  0.7500  0.7379  0.0480  6 Ac 3.24-3.48
Ac  0.7500  0.8637  0.4261  1 N 2.40
N  0.7500  0.6264  0.3702  4 Ac 2.40-2.52
Au  0.2500  0.4267  0.2116  7 Ac 3.23-3.45
Au  0.7500  0.0733  0.7116  7 Ac 3.23-3.45
Ac  0.7500  0.6820  0.2373  1 N 2.47
N  0.7500  0.1264  0.1298  4 Ac 2.40-2.52
Au  0.2500  0.7621  0.5480  6 Ac 3.24-3.48
Ac  0.7500  0.5005  0.6025  2 N 2.52
Ac  0.7500  0.1820  0.2627  1 N 2.47



Record 3
Compound: Ac3AuN2
Source: Alexandria
Functional: GGA-PBE
Structure: optimized geometry

Values from the calculation:
theoretical density	10.0	g cm⁻³
energy	-6.265	eV per atom
crystal system	orthorhombic
volume	299.5	Å³ per cell
space group	Pmc2_1, No. 26

a b c (Å): 3.7604 6.7493 11.8015
angles (deg): 90.00 90.00 90.00
Closest atoms and distances in Å follow each position.
Fractional positions:
Au  0.0000  0.0199  0.8793  6 Ac 3.22-3.39
N  0.0000  0.0128  0.2494  5 Ac 2.51-2.65
Ac  0.5000  0.7538  0.3067  3 N 2.55-2.65
Au  0.0000  0.5199  0.1207  6 Ac 3.22-3.39
Ac  0.5000  0.1331  0.1094  2 N 2.63
N  0.0000  0.5128  0.7506  5 Ac 2.51-2.65
Ac  0.0000  0.2443  0.4162  3 N 2.51-2.62
N  0.5000  0.0374  0.5166  5 Ac 2.55-2.84
N  0.5000  0.5374  0.4834  5 Ac 2.55-2.84
Ac  0.5000  0.2538  0.6933  3 N 2.55-2.65
Ac  0.0000  0.7443  0.5838  3 N 2.51-2.62
Ac  0.5000  0.6331  0.8906  2 N 2.63